1.
Entry from Alexandria: a PBEsol-optimized structure of SrRe2Au (SCAN).

SG: No. 12
formation energy: 83 kJ per mole of atoms

Cell: 2.706 5.186 5.854 Å, 114.53 100.25 96.89°
Sites, in units of the cell vectors:
Re  0.000  0.000  0.500
Re  0.500  0.500  0.500
Au  0.000  0.500  0.000
Sr  0.500  0.000  0.000

***

2.
Entry from Alexandria: a PBEsol-optimized structure of USbSe (SCAN).

SG: No. 129
formation energy (no corrections): -0.732 eV/atom

Cell: 4.092 4.092 8.405 Å, 90.00 90.00 90.00°
Last column: magnetic moment on the atom in μB.
Sites, in units of the cell vectors:
Sb  0.500  0.500  0.000  -0.06
Sb  0.000  0.000  0.000  -0.06
U  0.500  0.000  0.298  2.57
U  0.000  0.500  0.702  2.57
Se  0.000  0.500  0.361  -0.11
Se  0.500  0.000  0.639  -0.11

***

3.
Entry from Alexandria: a PBEsol-optimized structure of PPbCl2 (SCAN).

SG: No. 123
formation energy (no corrections): 0.121 eV/atom

Cell: 4.167 4.508 4.508 Å, 90.00 90.00 90.00°
Sites, in units of the cell vectors:
Pb  0.500  0.000  0.000
P  0.500  0.500  0.500
Cl  0.000  0.500  0.000
Cl  0.000  0.000  0.500

***

4.
Entry from Alexandria: a PBEsol-optimized structure of GdRe4Si2 (SCAN).

SG: No. 136
formation energy (no corrections): -0.481 eV/atom

Cell: 4.096 7.360 7.360 Å, 90.00 90.00 90.00°
Last column: magnetic moment on the atom in μB.
Sites, in units of the cell vectors:
Re  0.000  0.657  0.907  -0.01
Re  0.000  0.093  0.343  -0.01
Re  0.500  0.157  0.593  -0.01
Re  0.000  0.907  0.657  -0.01
Re  0.500  0.593  0.157  -0.01
Re  0.500  0.407  0.843  -0.01
Re  0.000  0.343  0.093  -0.01
Re  0.500  0.843  0.407  -0.01
Si  0.000  0.791  0.209  -0.01
Si  0.000  0.209  0.791  -0.01
Si  0.500  0.709  0.709  -0.01
Si  0.500  0.291  0.291  -0.01
Gd  0.500  0.000  0.000  7.09
Gd  0.000  0.500  0.500  7.09

***

5.
Entry from Alexandria: a PBEsol-optimized structure of Ag2PtPb (SCAN).

SG: No. 123
formation energy: 8 kJ per mole of atoms

Cell: 4.047 4.047 4.426 Å, 90.00 90.00 90.00°
Sites, in units of the cell vectors:
Pt  0.000  0.000  0.500
Pb  0.500  0.500  0.500
Ag  0.000  0.500  0.000
Ag  0.500  0.000  0.000

***

6.
Entry from Alexandria: a PBEsol-optimized structure of RbLi2Ir (SCAN).

SG: No. 225
formation energy: 51 kJ per mole of atoms

Cell: 4.741 4.741 4.741 Å, 60.00 60.00 60.00°
Sites, in units of the cell vectors:
Ir  0.500  0.500  0.500
Li  0.750  0.750  0.750
Li  0.250  0.250  0.250
Rb  0.000  0.000  0.000

***

7.
Entry from Alexandria: a PBEsol-optimized structure of Mn3TeBr (SCAN).

SG: No. 221
formation energy (no corrections): 0.452 eV/atom

Cell: 5.001 5.001 5.001 Å, 90.00 90.00 90.00°
Last column: magnetic moment on the atom in μB.
Sites, in units of the cell vectors:
Mn  0.000  0.500  0.000  3.92
Mn  0.500  0.000  0.000  3.92
Mn  0.000  0.000  0.500  3.92
Te  0.000  0.000  0.000  -0.13
Br  0.500  0.500  0.500  0.13

***

8.
Entry from Alexandria: a PBEsol-optimized structure of NiC (SCAN).

SG: No. 189
formation energy: 115 kJ per mole of atoms

Cell: 2.412 5.046 5.046 Å, 120.00 90.00 90.00°
Sites, in units of the cell vectors:
C  0.000  0.635  0.635
C  0.000  0.365  0.000
C  0.000  0.000  0.365
Ni  0.500  0.333  0.667
Ni  0.000  0.000  0.000
Ni  0.500  0.667  0.333

***

9.
Entry from Alexandria: a PBEsol-optimized structure of Be3Mo (SCAN).

SG: No. 194
formation energy: -17 kJ per mole of atoms

Cell: 4.829 4.829 7.804 Å, 90.00 90.00 120.00°
Last column: magnetic moment on the atom in μB.
Sites, in units of the cell vectors:
Be  0.175  0.350  0.750  0.00
Be  0.500  0.000  0.500  0.00
Be  0.000  0.500  0.000  0.00
Be  0.650  0.825  0.750  0.00
Be  0.825  0.175  0.250  0.00
Be  0.175  0.825  0.750  0.00
Be  0.500  0.500  0.000  0.00
Be  0.350  0.175  0.250  0.00
Be  0.500  0.000  0.000  0.00
Be  0.000  0.500  0.500  0.00
Be  0.500  0.500  0.500  0.00
Be  0.825  0.650  0.250  0.00
Mo  0.000  0.000  0.500  0.21
Mo  0.333  0.667  0.250  0.00
Mo  0.000  0.000  0.000  0.21
Mo  0.667  0.333  0.750  0.00

***

10.
Entry from Alexandria: a PBEsol-optimized structure of KSn2Ge2 (SCAN).

SG: No. 139
formation energy: -6 kJ per mole of atoms

Cell: 5.100 5.100 6.333 Å, 113.75 113.75 90.00°
Sites, in units of the cell vectors:
Ge  0.250  0.750  0.500
Ge  0.750  0.250  0.500
Sn  0.361  0.361  0.722
Sn  0.639  0.639  0.278
K  0.000  0.000  0.000

***

11.
Entry from Alexandria: a PBEsol-optimized structure of Li2MnHg (SCAN).

SG: No. 123
formation energy: -19 kJ per mole of atoms

Cell: 3.900 3.900 4.187 Å, 90.00 90.00 90.00°
Last column: magnetic moment on the atom in μB.
Sites, in units of the cell vectors:
Li  0.000  0.500  0.000  -0.02
Li  0.500  0.000  0.000  -0.02
Hg  0.000  0.000  0.500  -0.03
Mn  0.500  0.500  0.500  4.14

***

12.
Entry from Alexandria: a PBEsol-optimized structure of CuHgAs2 (SCAN).

SG: No. 216
formation energy: 48 kJ per mole of atoms

Cell: 4.674 4.674 4.674 Å, 60.00 60.00 60.00°
Sites, in units of the cell vectors:
Hg  0.250  0.250  0.250
As  0.750  0.750  0.750
As  0.000  0.000  0.000
Cu  0.500  0.500  0.500

***

13.
Entry from Alexandria: a PBEsol-optimized structure of CaMoN2F (SCAN).

SG: No. 123
formation energy (no corrections): -1.255 eV/atom

Cell: 3.939 3.939 4.030 Å, 90.00 90.00 90.00°
Sites, in units of the cell vectors:
N  0.500  0.000  0.000
N  0.000  0.500  0.000
Ca  0.500  0.500  0.500
Mo  0.000  0.000  0.000
F  0.000  0.000  0.500

***

14.
Entry from Alexandria: a PBEsol-optimized structure of TlGa2BiIr (SCAN).

SG: No. 123
formation energy: 148 kJ per mole of atoms

Cell: 4.912 4.912 5.733 Å, 90.00 90.00 90.00°
Last column: magnetic moment on the atom in μB.
Sites, in units of the cell vectors:
Ga  0.500  0.000  0.000  0.02
Ga  0.000  0.500  0.000  0.02
Ir  0.500  0.500  0.500  -1.09
Tl  0.000  0.000  0.000  0.01
Bi  0.000  0.000  0.500  0.06

***

15.
Entry from Alexandria: a PBEsol-optimized structure of Be2Ru (SCAN).

SG: No. 140
formation energy: -10 kJ per mole of atoms

Cell: 4.428 4.428 4.428 Å, 93.24 118.15 118.15°
Sites, in units of the cell vectors:
Be  0.500  0.821  0.679
Be  0.500  0.179  0.321
Be  0.859  0.679  0.179
Be  0.141  0.321  0.821
Ru  0.000  0.250  0.250
Ru  0.000  0.750  0.750

***

16.
Entry from Alexandria: a PBEsol-optimized structure of AlSnC2 (SCAN).

SG: No. 225
formation energy: 191 kJ per mole of atoms

Cell: 4.076 4.076 4.076 Å, 60.00 60.00 60.00°
Sites, in units of the cell vectors:
C  0.750  0.750  0.750
C  0.250  0.250  0.250
Al  0.000  0.000  0.000
Sn  0.500  0.500  0.500

***

17.
Entry from Alexandria: a PBEsol-optimized structure of Zn2FeBr (SCAN).

SG: No. 123
formation energy (no corrections): 0.246 eV/atom

Cell: 3.139 3.139 6.522 Å, 90.00 90.00 90.00°
Last column: magnetic moment on the atom in μB.
Sites, in units of the cell vectors:
Br  0.500  0.500  0.000  0.00
Zn  0.000  0.000  0.306  -0.06
Zn  0.000  0.000  0.694  -0.06
Fe  0.500  0.500  0.500  2.47

***

18.
Entry from Alexandria: a PBEsol-optimized structure of GeWIN2 (SCAN).

SG: No. 123
formation energy (no corrections): 0.845 eV/atom

Cell: 3.988 3.988 5.532 Å, 90.00 90.00 90.00°
Sites, in units of the cell vectors:
W  0.000  0.000  0.000
N  0.500  0.000  0.000
N  0.000  0.500  0.000
I  0.000  0.000  0.500
Ge  0.500  0.500  0.500

***

19.
Entry from Alexandria: a PBEsol-optimized structure of Sc2Ir (SCAN).

SG: No. 227
formation energy: -86 kJ per mole of atoms

Cell: 8.595 8.595 8.595 Å, 60.00 60.00 60.00°
Sites, in units of the cell vectors:
Sc  0.125  0.625  0.625
Sc  0.188  0.812  0.188
Sc  0.812  0.812  0.188
Sc  0.438  0.062  0.438
Sc  0.625  0.125  0.625
Sc  0.188  0.188  0.812
Sc  0.062  0.062  0.438
Sc  0.812  0.188  0.812
Sc  0.625  0.625  0.125
Sc  0.188  0.812  0.812
Sc  0.062  0.438  0.062
Sc  0.438  0.438  0.062
Sc  0.062  0.438  0.438
Sc  0.625  0.625  0.625
Sc  0.812  0.188  0.188
Sc  0.438  0.062  0.062
Ir  0.410  0.410  0.770
Ir  0.840  0.840  0.840
Ir  0.410  0.770  0.410
Ir  0.410  0.410  0.410
Ir  0.840  0.480  0.840
Ir  0.480  0.840  0.840
Ir  0.770  0.410  0.410
Ir  0.840  0.840  0.480

***

20.
Entry from Alexandria: a PBEsol-optimized structure of SiTc2Ir (SCAN).

SG: No. 71
formation energy (no corrections): -0.308 eV/atom

Cell: 2.875 4.290 5.071 Å, 115.03 106.47 90.00°
Sites, in units of the cell vectors:
Tc  0.723  0.723  0.446
Tc  0.277  0.277  0.554
Si  0.000  0.500  0.000
Ir  0.500  0.000  0.000

***

21.
Entry from Alexandria: a PBEsol-optimized structure of BaCuBr2 (SCAN).

SG: No. 166
formation energy (no corrections): -0.904 eV/atom

Cell: 4.273 4.273 9.175 Å, 76.53 76.53 60.00°
Sites, in units of the cell vectors:
Ba  0.500  0.500  0.500
Br  0.915  0.915  0.256
Br  0.085  0.085  0.744
Cu  0.000  0.000  0.000

***

22.
Entry from Alexandria: a PBEsol-optimized structure of Be2AgBr (SCAN).

SG: No. 6
formation energy (no corrections): 0.222 eV/atom

Cell: 3.092 3.213 7.203 Å, 90.38 90.00 90.00°
Sites, in units of the cell vectors:
Ag  0.500  0.497  0.879
Be  0.500  0.500  0.201
Be  0.000  0.999  0.011
Br  0.000  0.504  0.409

***

23.
Entry from Alexandria: a PBEsol-optimized structure of LiMgAg2 (SCAN).

SG: No. 123
formation energy: -22 kJ per mole of atoms

Cell: 3.258 4.504 4.504 Å, 90.00 90.00 90.00°
Sites, in units of the cell vectors:
Mg  0.500  0.000  0.000
Ag  0.000  0.500  0.000
Ag  0.000  0.000  0.500
Li  0.500  0.500  0.500

***

24.
Entry from Alexandria: a PBEsol-optimized structure of BaZn2 (SCAN).

SG: No. 227
formation energy: -8 kJ per mole of atoms

Cell: 5.888 5.888 5.888 Å, 60.00 60.00 60.00°
Sites, in units of the cell vectors:
Zn  0.125  0.125  0.125
Zn  0.125  0.625  0.125
Zn  0.125  0.125  0.625
Zn  0.625  0.125  0.125
Ba  0.500  0.500  0.500
Ba  0.750  0.750  0.750

***

25.
Entry from Alexandria: a PBEsol-optimized structure of Be4CdP (SCAN).

SG: No. 216
formation energy: 40 kJ per mole of atoms

Cell: 4.596 4.596 4.596 Å, 60.00 60.00 60.00°
Sites, in units of the cell vectors:
Be  0.375  0.876  0.375
Be  0.876  0.375  0.375
Be  0.375  0.375  0.375
Be  0.375  0.375  0.876
Cd  0.750  0.750  0.750
P  0.000  0.000  0.000

***

26.
Entry from Alexandria: a PBEsol-optimized structure of Tl2SiPt (SCAN).

SG: No. 8
formation energy (no corrections): -0.185 eV/atom

Cell: 3.748 4.084 7.168 Å, 104.94 90.00 117.31°
Sites, in units of the cell vectors:
Tl  0.229  0.457  0.695
Tl  0.018  0.036  0.048
Pt  0.475  0.951  0.410
Si  0.778  0.556  0.347

***

27.
Entry from Alexandria: a PBEsol-optimized structure of Ca5Cu (SCAN).

SG: No. 12
formation energy: 3 kJ per mole of atoms

Cell: 3.720 6.701 9.190 Å, 111.56 90.00 106.11°
Sites, in units of the cell vectors:
Ca  0.317  0.633  0.766
Ca  0.021  0.042  0.602
Ca  0.368  0.736  0.176
Ca  0.072  0.144  0.011
Ca  0.695  0.389  0.389
Cu  0.694  0.389  0.889

***

For the records above, the corresponding DFT total energy values read -230.20 -326.12 -101.65 -733.21 -208.38 -94.49 -109.22 -71.64 -194.68 -118.66 -91.99 -121.74 -72.94 -247.06 -87.72 -55.95 -63.63 -139.88 -818.07 -152.47 -97.28 -58.65 -71.01 -133.65 -55.73 -225.66 -63.36 eV/cell.